Record 1
Ca2ZrO | GGA-PBE | relaxed

Properties
- relative energy among the computed polymorphs (meV/atom) = 1204
- formation energy from raw total energies (eV per atom) = 0.4751
- symmetry = Fm-3m

abc: 5.236 5.236 5.236
angles: 60.00 60.00 60.00
Fractional positions:
Ca  0.250  0.250  0.250
Ca  0.750  0.750  0.750
Zr  0.000  0.000  0.000
O  0.500  0.500  0.500

---

Record 2
CaZr2O | GGA-PBE | relaxed

Properties
- relative energy among the computed polymorphs (meV/atom) = 1658
- formation energy from raw total energies (eV per atom) = 0.6937
- symmetry = Fm-3m

abc: 4.862 4.862 4.862
angles: 60.00 60.00 60.00
Fractional positions:
Ca  0.000  0.000  0.000
Zr  0.250  0.250  0.250
Zr  0.750  0.750  0.750
O  0.500  0.500  0.500

---

Record 3
Ca3Zr5O12 | GGA-PBE | relaxed

Properties
- formation energy from raw total energies (eV per atom) = -3.0220
- symmetry = Ia-3d

abc: 11.554 11.554 11.554
angles: 109.47 109.47 109.47
Fractional positions:
Ca  0.125  0.250  0.375
Ca  0.125  0.375  0.750
Ca  0.250  0.375  0.125
Ca  0.250  0.875  0.625
Ca  0.375  0.125  0.250
Ca  0.375  0.750  0.125
Ca  0.625  0.250  0.875
Ca  0.625  0.875  0.750
Ca  0.750  0.125  0.375
Ca  0.750  0.625  0.875
Ca  0.875  0.625  0.250
Ca  0.875  0.750  0.625
Zr  0.000  0.000  0.000
Zr  0.000  0.000  0.500
Zr  0.000  0.500  0.000
Zr  0.000  0.500  0.500
Zr  0.125  0.750  0.875
Zr  0.125  0.875  0.250
Zr  0.250  0.125  0.875
Zr  0.250  0.625  0.375
Zr  0.375  0.250  0.625
Zr  0.375  0.625  0.750
Zr  0.500  0.000  0.000
Zr  0.500  0.000  0.500
Zr  0.500  0.500  0.000
Zr  0.500  0.500  0.500
Zr  0.625  0.375  0.250
Zr  0.625  0.750  0.375
Zr  0.750  0.375  0.625
Zr  0.750  0.875  0.125
Zr  0.875  0.125  0.750
Zr  0.875  0.250  0.125
O  0.028  0.204  0.126
O  0.028  0.324  0.902
O  0.078  0.704  0.676
O  0.078  0.874  0.402
O  0.098  0.626  0.422
O  0.098  0.972  0.676
O  0.126  0.028  0.204
O  0.126  0.598  0.922
O  0.176  0.204  0.578
O  0.176  0.472  0.598
O  0.204  0.126  0.028
O  0.204  0.578  0.176
O  0.296  0.324  0.922
O  0.296  0.472  0.374
O  0.324  0.902  0.028
O  0.324  0.922  0.296
O  0.374  0.296  0.472
O  0.374  0.578  0.902
O  0.402  0.078  0.874
O  0.402  0.824  0.528
O  0.422  0.098  0.626
O  0.422  0.824  0.796
O  0.472  0.374  0.296
O  0.472  0.598  0.176
O  0.528  0.402  0.824
O  0.528  0.626  0.704
O  0.578  0.176  0.204
O  0.578  0.902  0.374
O  0.598  0.176  0.472
O  0.598  0.922  0.126
O  0.626  0.422  0.098
O  0.626  0.704  0.528
O  0.676  0.078  0.704
O  0.676  0.098  0.972
O  0.704  0.528  0.626
O  0.704  0.676  0.078
O  0.796  0.422  0.824
O  0.796  0.874  0.972
O  0.824  0.528  0.402
O  0.824  0.796  0.422
O  0.874  0.402  0.078
O  0.874  0.972  0.796
O  0.902  0.028  0.324
O  0.902  0.374  0.578
O  0.922  0.126  0.598
O  0.922  0.296  0.324
O  0.972  0.676  0.098
O  0.972  0.796  0.874